# DyBiS, relaxed, DFT PBE
data_DyBiS
_cell_length_a 4.950
_cell_length_b 15.933
_cell_length_c 4.239
_cell_angle_alpha 90.00
_cell_angle_beta 90.00
_cell_angle_gamma 90.00
_space_group_name_H-M_alt 'C m c m'
_space_group_IT_number 63
_space_group_name_Hall '-C 2c 2'
loop_
_atom_site_label
_atom_site_fract_x
_atom_site_fract_y
_atom_site_fract_z
Dy1 0.000 0.160 0.250
Bi1 0.000 0.430 0.250
S1 0.000 0.269 0.750
# Magnetization ... 0.0 μB per formula unit
# Theoretical density ... 8.0 g/cm³
# Uncorrected energy ... -5.35 eV/atom


# Dy2Bi2S7, relaxed, DFT PBE
data_Dy2Bi2S7
_cell_length_a 3.890
_cell_length_b 14.437
_cell_length_c 8.794
_cell_angle_alpha 90.00
_cell_angle_beta 90.00
_cell_angle_gamma 90.00
_space_group_name_H-M_alt 'I m m 2'
_space_group_IT_number 44
loop_
_space_group_symop_operation_xyz
'x,y,z'
'-x,-y,z'
'-x,y,z'
'x,-y,z'
'x+1/2,y+1/2,z+1/2'
'-x+1/2,-y+1/2,z+1/2'
'-x+1/2,y+1/2,z+1/2'
'x+1/2,-y+1/2,z+1/2'
loop_
_atom_site_label
_atom_site_fract_x
_atom_site_fract_y
_atom_site_fract_z
Dy1 0.000 0.000 0.000
Dy2 0.000 0.500 0.039
Bi1 0.000 0.247 0.217
S1 0.000 0.000 0.322
S2 0.000 0.102 0.719
S3 0.000 0.325 0.921
S4 0.000 0.366 0.538
# Magnetization ... 0.2 μB per formula unit
# D(E_F) ... 11.7 states/eV per cell
# Theoretical density ... 6.5 g/cm³
# Uncorrected energy ... -5.06 eV/atom


# DyBiS3, relaxed, DFT PBE
data_DyBiS3
_cell_length_a 7.109
_cell_length_b 4.018
_cell_length_c 9.934
_cell_angle_alpha 90.00
_cell_angle_beta 90.19
_cell_angle_gamma 90.00
_space_group_name_H-M_alt 'P 1 21/m 1'
_space_group_IT_number 11
loop_
_space_group_symop_operation_xyz
'x,y,z'
'-x,-y,-z'
'-x,y+1/2,-z'
'x,-y+1/2,z'
loop_
_atom_site_label
_atom_site_fract_x
_atom_site_fract_y
_atom_site_fract_z
Dy1 0.075 0.250 0.178
Bi1 0.416 0.250 0.813
S1 0.090 0.250 0.685
S2 0.222 0.750 0.007
S3 0.411 0.250 0.318
# Magnetization ... 0.0 μB per formula unit
# Energy above the lowest structure with this stoichiometry ... 0.000 eV per atom
# D(E_F) ... 0.0 states/eV per cell
# Theoretical density ... 5.5 g/cm³
# Uncorrected energy ... -5.36 eV/atom


# Dy5BiS4, relaxed, DFT PBE
data_Dy5BiS4
_cell_length_a 13.336
_cell_length_b 4.002
_cell_length_c 9.914
_cell_angle_alpha 90.00
_cell_angle_beta 119.37
_cell_angle_gamma 90.00
_space_group_name_H-M_alt 'C 1 2/m 1'
_space_group_IT_number 12
loop_
_space_group_symop_operation_xyz
'x,y,z'
'-x,-y,-z'
'-x,y,-z'
'x,-y,z'
'x+1/2,y+1/2,z'
'-x+1/2,-y+1/2,-z'
'-x+1/2,y+1/2,-z'
'x+1/2,-y+1/2,z'
loop_
_atom_site_label
_atom_site_fract_x
_atom_site_fract_y
_atom_site_fract_z
Dy1 0.000 0.000 0.000
Dy2 0.109 0.500 0.379
Dy3 0.209 0.000 0.821
Bi1 0.000 0.000 0.500
S1 0.093 0.500 0.897
S2 0.206 0.000 0.291
# Magnetization ... 0.0 μB per formula unit
# D(E_F) ... 5.9 states/eV per cell
# Theoretical density ... 8.3 g/cm³
# Uncorrected energy ... -6.04 eV/atom


# Dy3BiS6, relaxed, DFT PBE
data_Dy3BiS6
_cell_length_a 11.174
_cell_length_b 4.018
_cell_length_c 11.368
_cell_angle_alpha 90.00
_cell_angle_beta 108.98
_cell_angle_gamma 90.00
_space_group_name_H-M_alt 'P 1 21/m 1'
_space_group_IT_number 11
loop_
_space_group_symop_operation_xyz
'x,y,z'
'-x,-y,-z'
'-x,y+1/2,-z'
'x,-y+1/2,z'
loop_
_atom_site_label
_atom_site_fract_x
_atom_site_fract_y
_atom_site_fract_z
Dy1 0.068 0.250 0.166
Dy2 0.172 0.750 0.498
Dy3 0.339 0.250 0.918
Bi1 0.470 0.250 0.314
S1 0.019 0.250 0.386
S2 0.102 0.250 0.936
S3 0.234 0.750 0.278
S4 0.305 0.750 0.747
S5 0.385 0.250 0.533
S6 0.418 0.750 0.090
# Magnetization ... 0.0 μB per formula unit
# Energy above the lowest structure with this stoichiometry ... 0.000 eV per atom
# D(E_F) ... 0.0 states/eV per cell
# Theoretical density ... 6.1 g/cm³
# Uncorrected energy ... -5.87 eV/atom


# DyBiS3, relaxed, DFT PBE
data_DyBiS3
_cell_length_a 8.031
_cell_length_b 3.860
_cell_length_c 8.366
_cell_angle_alpha 90.00
_cell_angle_beta 101.58
_cell_angle_gamma 90.00
_space_group_name_H-M_alt 'P 1 21/m 1'
_space_group_IT_number 11
loop_
_space_group_symop_operation_xyz
'x,y,z'
'-x,-y,-z'
'-x,y+1/2,-z'
'x,-y+1/2,z'
loop_
_atom_site_label
_atom_site_fract_x
_atom_site_fract_y
_atom_site_fract_z
Dy1 0.169 0.250 0.176
Bi1 0.333 0.750 0.731
S1 0.076 0.250 0.837
S2 0.286 0.250 0.501
S3 0.396 0.750 0.134
# Magnetization ... 0.0 μB per formula unit
# Energy above the lowest structure with this stoichiometry ... 0.077 eV per atom
# Theoretical density ... 6.1 g/cm³
# Uncorrected energy ... -5.28 eV/atom


# Dy5Bi4S, relaxed, DFT PBE
data_Dy5Bi4S
_cell_length_a 9.750
_cell_length_b 9.750
_cell_length_c 6.232
_cell_angle_alpha 90.00
_cell_angle_beta 90.00
_cell_angle_gamma 90.00
_space_group_name_H-M_alt 'I 4'
_space_group_IT_number 79
loop_
_space_group_symop_operation_xyz
'x,y,z'
'-y,x,z'
'-x,-y,z'
'y,-x,z'
'x+1/2,y+1/2,z+1/2'
'-y+1/2,x+1/2,z+1/2'
'-x+1/2,-y+1/2,z+1/2'
'y+1/2,-x+1/2,z+1/2'
loop_
_atom_site_label
_atom_site_fract_x
_atom_site_fract_y
_atom_site_fract_z
Dy1 0.000 0.000 0.000
Dy2 0.099 0.280 0.484
Bi1 0.092 0.304 0.984
S1 0.000 0.000 0.477
# Magnetization ... 0.0 μB per formula unit
# D(E_F) ... 5.2 states/eV per cell
# Theoretical density ... 9.4 g/cm³
# Uncorrected energy ... -5.30 eV/atom


# Dy4Bi2S9, relaxed, DFT PBE
data_Dy4Bi2S9
_cell_length_a 6.9876
_cell_length_b 6.9876
_cell_length_c 18.6318
_cell_angle_alpha 90.00
_cell_angle_beta 90.00
_cell_angle_gamma 120.00
_space_group_name_H-M_alt 'P -3 c 1'
_space_group_IT_number 165
_space_group_name_Hall '-P 3 2"c'
loop_
_atom_site_label
_atom_site_fract_x
_atom_site_fract_y
_atom_site_fract_z
Dy1 0.3333 0.6667 0.1836
Dy2 0.3333 0.6667 0.4831
Bi1 0.0000 0.0000 0.1484
S1 0.0000 0.3070 0.2500
S2 0.0310 0.3775 0.5837
# Magnetization ... 0.0 μB per formula unit
# D(E_F) ... 0.0 states/eV per cell
# Theoretical density ... 5.7 g/cm³
# Uncorrected energy ... -5.70 eV/atom


# Dy3BiS6, relaxed, DFT PBE
data_Dy3BiS6
_cell_length_a 11.5445
_cell_length_b 11.5445
_cell_length_c 13.8312
_cell_angle_alpha 90.00
_cell_angle_beta 90.00
_cell_angle_gamma 120.00
_space_group_name_H-M_alt 'R -3'
_space_group_IT_number 148
_space_group_name_Hall '-R 3'
loop_
_atom_site_label
_atom_site_fract_x
_atom_site_fract_y
_atom_site_fract_z
Dy1 0.0480 0.7793 0.2056
Bi1 0.0000 0.0000 0.0000
Bi2 0.0000 0.0000 0.5000
S1 0.0194 0.7996 0.3993
S2 0.0308 0.8385 0.8675
# Magnetization ... 0.0 μB per formula unit
# Energy above the lowest structure with this stoichiometry ... 0.015 eV per atom
# D(E_F) ... 0.0 states/eV per cell
# Theoretical density ... 5.5 g/cm³
# Uncorrected energy ... -5.86 eV/atom


# DyBi2S6, relaxed, DFT PBE
data_DyBi2S6
_cell_length_a 6.275
_cell_length_b 6.275
_cell_length_c 12.650
_cell_angle_alpha 90.00
_cell_angle_beta 90.00
_cell_angle_gamma 90.00
_space_group_name_H-M_alt 'P 42/m n m'
_space_group_IT_number 136
_space_group_name_Hall '-P 4n 2n'
loop_
_atom_site_label
_atom_site_fract_x
_atom_site_fract_y
_atom_site_fract_z
Dy1 0.000 0.000 0.000
Bi1 0.000 0.000 0.336
S1 0.192 0.192 0.167
S2 0.195 0.195 0.500
# Magnetization ... 0.0 μB per formula unit
# D(E_F) ... 15.9 states/eV per cell
# Theoretical density ... 5.2 g/cm³
# Uncorrected energy ... -4.52 eV/atom


# DyBi2S4, relaxed, DFT PBE
data_DyBi2S4
_cell_length_a 3.728
_cell_length_b 14.516
_cell_length_c 13.116
_cell_angle_alpha 90.00
_cell_angle_beta 90.00
_cell_angle_gamma 90.00
_space_group_name_H-M_alt 'C m c m'
_space_group_IT_number 63
_space_group_name_Hall '-C 2c 2'
loop_
_atom_site_label
_atom_site_fract_x
_atom_site_fract_y
_atom_site_fract_z
Dy1 0.000 0.114 0.250
Bi1 0.000 0.369 0.072
S1 0.000 0.000 0.000
S2 0.000 0.297 0.623
S3 0.000 0.477 0.250
# Magnetization ... 0.0 μB per formula unit
# D(E_F) ... 7.1 states/eV per cell
# Theoretical density ... 6.6 g/cm³
# Uncorrected energy ... -4.96 eV/atom


# Dy2BiS, relaxed, DFT PBE
data_Dy2BiS
_cell_length_a 4.1551
_cell_length_b 4.1551
_cell_length_c 20.8742
_cell_angle_alpha 90.00
_cell_angle_beta 90.00
_cell_angle_gamma 120.00
_space_group_name_H-M_alt 'R -3 m'
_space_group_IT_number 166
_space_group_name_Hall '-R 3 2"'
loop_
_atom_site_label
_atom_site_fract_x
_atom_site_fract_y
_atom_site_fract_z
Dy1 0.0000 0.0000 0.2382
Bi1 0.0000 0.0000 0.0000
S1 0.0000 0.0000 0.5000
# Magnetization ... 0.0 μB per formula unit
# Energy above the lowest structure with this stoichiometry ... 0.000 eV per atom
# D(E_F) ... 5.7 states/eV per cell
# Theoretical density ... 9.0 g/cm³
# Uncorrected energy ... -5.66 eV/atom